1.
TlBiPdPt: relaxed, GGA-PBE.

Computed properties:
Calculated formation energy = -0.1 eV per formula unit
Total moment = 0.00 μB/atom
Density of states at the Fermi level = 0.731 states/eV/atom

Lattice parameters (Å, degrees): 4.9076 4.9076 4.9076 60.00 60.00 60.00
Closest atoms and distances in Å follow each position.
Atoms (fractional coordinates):
Tl 0.0000 0.0000 0.0000  4 Pd 3.01, 4 Pt 3.01
Bi 0.5000 0.5000 0.5000  4 Pt 3.01, 4 Pd 3.01
Pd 0.2500 0.2500 0.2500  4 Tl 3.01, 4 Bi 3.01
Pt 0.7500 0.7500 0.7500  4 Tl 3.01, 4 Bi 3.01

2.
PmMoN2: relaxed, GGA-PBE.

Computed properties:
Distance to the lowest polymorph of the same formula = 1.872 eV/f.u.
Total moment = 0.00 μB/atom
Density of states at the Fermi level = 0.708 states/eV/atom

Lattice parameters (Å, degrees): 3.1404 3.1625 5.9559 105.38 104.60 90.00
Closest atoms and distances in Å follow each position.
Atoms (fractional coordinates):
Pm 0.0000 0.0000 0.0000  8 N 2.59-2.85
Mo 0.7731 0.2522 0.5021  4 N 2.01-2.06
N 0.3756 0.3708 0.7356  2 Mo 2.01-2.06
N 0.7036 0.6409 0.2801  2 Mo 2.01